Arrangement i

KTl2Cd4, relaxed, DFT PBE; crystal system = tetragonal; total magnetic moment = 0.0000 μB/atom
1.0
-4.0498 4.0498 3.1153
4.0498 -4.0498 3.1153
4.0498 4.0498 -3.1153
K Tl Cd
1 2 4
Cartesian
0.0000 0.0000 0.0000 K
4.0498 0.0000 1.5576 Tl
0.0000 4.0498 1.5576 Tl
2.5255 2.5255 0.0000 Cd
1.5243 -1.5243 3.1153 Cd
-1.5243 1.5243 3.1153 Cd
1.5243 1.5243 3.1153 Cd

Arrangement ii

KTl2Cd4, relaxed, DFT PBE; crystal system = trigonal; total magnetic moment = 0.0000 μB/atom
1.0
2.5096 1.4489 9.5815
-2.5096 1.4489 9.5815
0.0000 -2.8978 9.5815
K Tl Cd
1 2 4
Cartesian
0.0000 0.0000 0.0000 K
0.0000 0.0000 7.4263 Tl
0.0000 0.0000 21.3183 Tl
0.0000 0.0000 4.0836 Cd
0.0000 0.0000 12.7478 Cd
0.0000 0.0000 15.9968 Cd
0.0000 0.0000 24.6610 Cd

Most stable: arrangement ii. Least stable: arrangement i.

Arrangement i

KTl3Cd, relaxed, DFT PBE; crystal system = cubic; total magnetic moment = 0.0000 μB/atom
1.0
5.8005 0.0000 0.0000
0.0000 5.8005 0.0000
0.0000 0.0000 5.8005
K Tl Cd
1 3 1
Cartesian
0.0000 0.0000 0.0000 K
0.0000 2.9003 2.9003 Tl
2.9003 0.0000 2.9003 Tl
2.9003 2.9003 0.0000 Tl
2.9003 2.9003 2.9003 Cd

Arrangement ii

KTl3Cd, relaxed, DFT PBE; crystal system = cubic; total magnetic moment = 0.0000 μB/atom
1.0
6.2712 0.0000 0.0000
0.0000 6.2712 0.0000
0.0000 0.0000 6.2712
K Tl Cd
1 3 1
Cartesian
0.0000 0.0000 0.0000 K
0.0000 0.0000 3.1356 Tl
0.0000 3.1356 0.0000 Tl
3.1356 0.0000 0.0000 Tl
3.1356 3.1356 3.1356 Cd

Most stable: arrangement i. Least stable: arrangement ii.

Arrangement i

KTl3Cd, relaxed, DFT PBE; crystal system = orthorhombic; total magnetic moment = 0.0000 μB/atom
1.0
10.2234 0.0000 0.0000
0.0000 4.8554 0.0000
0.0000 0.0000 13.3057
K Tl Cd
4 12 4
Cartesian
1.8414 1.2139 0.0185 K
3.2703 3.6416 6.6713 K
6.9531 1.2139 6.6344 K
8.3820 3.6416 13.2873 K
0.8953 1.2139 5.2801 Tl
1.1770 3.6416 2.7751 Tl
1.3230 3.6416 10.5141 Tl
3.7887 1.2139 3.8612 Tl
3.9347 1.2139 9.4280 Tl
4.2164 3.6416 11.9329 Tl
6.0070 1.2139 1.3728 Tl
6.2887 3.6416 3.8778 Tl
6.4348 3.6416 9.4445 Tl
8.9004 1.2139 2.7917 Tl
9.0464 1.2139 10.5306 Tl
9.3281 3.6416 8.0257 Tl
1.0780 1.2139 8.3553 Cd
4.0337 3.6416 1.7025 Cd
6.1897 1.2139 11.6033 Cd
9.1455 3.6416 4.9504 Cd

Arrangement ii

KTl3Cd, relaxed, DFT PBE; crystal system = tetragonal; total magnetic moment = 0.0000 μB/atom
1.0
-2.5535 2.5535 6.6123
2.5535 -2.5535 6.6123
2.5535 2.5535 -6.6123
K Tl Cd
1 3 1
Cartesian
0.0000 0.0000 0.0000 K
2.5535 0.0000 3.2248 Tl
0.0000 0.0000 5.1582 Tl
0.0000 2.5535 3.2248 Tl
0.0000 0.0000 8.1078 Cd

Most stable: arrangement ii. Least stable: arrangement i.

Arrangement i

K2Tl3Cd2, relaxed, DFT PBE; crystal system = monoclinic; total magnetic moment = 0.0000 μB/atom
1.0
6.3423 -2.5320 0.0000
6.3423 2.5320 0.0000
-4.2731 0.0000 7.4934
K Tl Cd
2 3 2
Cartesian
0.7208 0.0000 2.0609 K
7.6907 0.0000 5.4325 K
4.5817 0.0000 0.4280 Tl
4.2058 0.0000 3.7467 Tl
3.8298 0.0000 7.0654 Tl
-1.4155 0.0000 5.3598 Cd
9.8270 0.0000 2.1336 Cd

Arrangement ii

K2Tl3Cd2, relaxed, DFT PBE; crystal system = monoclinic; total magnetic moment = 0.0000 μB/atom
1.0
6.2257 -2.7227 0.0000
6.2257 2.7227 0.0000
-2.9448 0.0000 7.1002
K Tl Cd
2 3 2
Cartesian
0.4939 0.0000 2.4090 K
9.0127 0.0000 4.6912 K
0.1456 0.0000 6.1217 Tl
6.2257 0.0000 0.0000 Tl
9.3610 0.0000 0.9785 Tl
4.1230 0.0000 2.2497 Cd
5.3836 0.0000 4.8506 Cd

Most stable: arrangement i. Least stable: arrangement ii.